This record from the Alexandria database describes a relaxed Ba2NaCeSe4 crystal. The functional is PBE.

Results
Total magnetization: 0.99 μB/f.u.
E_form (uncorrected): -14.236 eV per formula unit
DFT total energy: -4.91 eV/atom
Symmetry: No. 10

abc: 4.532 7.770 7.772
angles: 71.05 90.00 90.00
Site moments in Bohr magnetons follow the coordinates.
Atoms (fractional coordinates):
Ba (0.000, 0.000, 0.000)  0.00
Ba (0.500, 0.000, 0.500)  0.00
Na (0.500, 0.500, 0.000)  0.00
Ce (0.000, 0.500, 0.500)  0.95
Se (0.000, 0.728, 0.743)  -0.01
Se (0.000, 0.272, 0.257)  -0.01
Se (0.500, 0.723, 0.266)  -0.01
Se (0.500, 0.277, 0.734)  -0.01

***

This record from the Alexandria database describes a relaxed BaNaCeTe3 crystal. The functional is PBE.

Results
Total magnetization: 1.00 μB/f.u.
E_form (uncorrected): -8.034 eV per formula unit
DFT total energy: -4.44 eV/atom
Symmetry: No. 11

abc: 4.737 9.524 10.322
angles: 105.20 90.00 90.00
Site moments in Bohr magnetons follow the coordinates.
Atoms (fractional coordinates):
Ba (0.750, 0.796, 0.760)  0.00
Ba (0.250, 0.204, 0.240)  0.00
Na (0.250, 0.090, 0.585)  0.00
Na (0.750, 0.910, 0.415)  0.00
Ce (0.250, 0.675, 0.159)  0.98
Ce (0.750, 0.325, 0.841)  0.98
Te (0.250, 0.749, 0.483)  -0.01
Te (0.750, 0.896, 0.124)  -0.01
Te (0.750, 0.448, 0.161)  -0.02
Te (0.750, 0.251, 0.517)  -0.01
Te (0.250, 0.552, 0.839)  -0.02
Te (0.250, 0.104, 0.876)  -0.01

***

This record from the Alexandria database describes a relaxed BaCeNb2O8 crystal. The functional is PBE.

Results
Total magnetization: 0.00 μB/f.u.
E_form (uncorrected): -34.022 eV per formula unit
DFT total energy: -8.47 eV/atom
Symmetry: No. 164

abc: 6.083 6.083 7.563
angles: 90.00 90.00 120.00
Atoms (fractional coordinates):
Ba (0.000, 0.000, 0.000)
Ce (0.000, 0.000, 0.500)
Nb (0.667, 0.333, 0.231)
Nb (0.333, 0.667, 0.769)
O (0.333, 0.667, 0.007)
O (0.322, 0.161, 0.305)
O (0.839, 0.161, 0.305)
O (0.667, 0.333, 0.993)
O (0.161, 0.839, 0.695)
O (0.678, 0.839, 0.695)
O (0.161, 0.322, 0.695)
O (0.839, 0.678, 0.305)